[1]
This record from the Alexandria database describes a relaxed structure of TmTl3Sb2Te6. The functional is GGA-PBE.

Unit cell a=7.750 b=13.425 c=8.428 alpha=90.00 beta=107.84 gamma=90.00
Space group C2/m (No. 12)
One atom of each set of equivalent atoms:
Tm: 0.000 0.000 0.000 [2 per cell]
Tl: 0.000 0.166 0.500 [4 per cell]
Tl: 0.000 0.500 0.500 [2 per cell]
Sb: 0.000 0.334 0.000 [4 per cell]
Te: 0.237 0.165 0.213 [8 per cell]
Te: 0.240 0.500 0.211 [4 per cell]

Properties
Energy relative to the elements, uncorrected = -493 meV per atom
E_tot = -3.72 eV/atom
Density = 7.1 Mg/m³
Spin magnetization = 0.00 μB per cell

***

[2]
This record from the Alexandria database describes a relaxed structure of DyTh3. The functional is GGA-PBE.

Unit cell a=3.554 b=5.896 c=6.158 alpha=90.00 beta=90.00 gamma=90.00
Space group Pmm2 (No. 25)
One atom of each set of equivalent atoms:
Dy: 0.000 0.000 0.000 [1 per cell]
Th: 0.000 0.500 0.673 [1 per cell]
Th: 0.500 0.000 0.503 [1 per cell]
Th: 0.500 0.500 0.171 [1 per cell]

Properties
E_tot = -6.66 eV/atom
Density = 11.0 Mg/m³
Energy relative to the elements = 0.051 eV per atom
Energy above the most stable polymorph in this dataset = 27 kJ/mol of formula units
Spin magnetization = 0.00 μB per cell

***

[3]
This record from the Alexandria database describes a relaxed structure of Ba2NaZnAu. The functional is GGA-PBE.

Unit cell a=6.449 b=6.449 c=5.045 alpha=90.00 beta=90.00 gamma=90.00
Space group P4/mmm (No. 123)
One atom of each set of equivalent atoms:
Ba: 0.000 0.500 0.000 [2 per cell]
Na: 0.000 0.000 0.500 [1 per cell]
Zn: 0.500 0.500 0.500 [1 per cell]
Au: 0.500 0.500 0.000 [1 per cell]

Properties
E_tot = -2.18 eV/atom
Density = 4.4 Mg/m³
Energy relative to the elements = -0.241 eV per atom
Spin magnetization = 0.00 μB per cell